[1]
A geometry-optimized ZrTl2Br6 structure, computed with PBE-GGA.

Properties
The formation energy without anion corrections comes out at -1.180 eV/atom. As for the space group: C2/m (12). The calculation puts the energy above the most stable polymorph in this dataset at 0.011 eV per atom.

abc: 7.6499 7.6499 7.7934
angles: 120.04 120.04 59.85
With the nearest neighbours (Å) after each atom.
Fractional positions:
Zr1 0.0000 0.0000 0.0000  6 Br 2.65-2.66
Tl1 0.2450 0.2450 0.7673  5 Br 3.41-3.43
Tl2 0.7550 0.7550 0.2327  5 Br 3.41-3.43
Br1 0.1985 0.7089 0.1886  1 Zr 2.66
Br2 0.2359 0.2359 0.3211  1 Zr 2.65
Br3 0.2911 0.8015 0.8114  1 Zr 2.66
Br4 0.7089 0.1985 0.1886  1 Zr 2.66
Br5 0.7641 0.7641 0.6789  1 Zr 2.65
Br6 0.8015 0.2911 0.8114  1 Zr 2.66


[2]
A geometry-optimized TaMn structure, computed with PBE-GGA.

Properties
As for the space group: P6_3/mmc (194).

abc: 4.1428 4.1428 5.0835
angles: 90.00 90.00 120.00
With the nearest neighbours (Å) after each atom.
Fractional positions:
Ta1 0.3333 0.6667 0.2500  5 Mn 2.39-2.54
Ta2 0.6667 0.3333 0.7500  5 Mn 2.39-2.54
Mn1 0.3333 0.6667 0.7500  5 Ta 2.39-2.54
Mn2 0.6667 0.3333 0.2500  5 Ta 2.39-2.54


Which DFT total energy belongs to each record? In order, -3.77 -9.36 eV/atom.
Which DOS(E_F) belongs to each record? In order, 0.000 0.976 states/eV/atom.